# 1
The following is a PBE-GGA calculation of a relaxed structure of PmGa2Ru, from Alexandria.

```
data_PmGa2Ru
_cell_length_a 4.2522
_cell_length_b 4.2522
_cell_length_c 15.3797
_cell_angle_alpha 90.00
_cell_angle_beta 90.00
_cell_angle_gamma 120.00
_space_group_name_H-M_alt 'R -3 m'
_space_group_IT_number 166
_space_group_name_Hall '-R 3 2"'
loop_
_atom_site_label
_atom_site_fract_x
_atom_site_fract_y
_atom_site_fract_z
Pm1 0.0000 0.0000 0.0000
Ga1 0.0000 0.0000 0.2134
Ru1 0.0000 0.0000 0.5000
```

**Crystal system**: trigonal
**M_tot**: 0.00 Bohr magnetons per cell
**Energy of formation**: -0.496 eV/atom



# 2
The following is a PBE-GGA calculation of a relaxed structure of PmHo2Sb, from Alexandria.

```
data_PmHo2Sb
_cell_length_a 4.0009
_cell_length_b 4.0009
_cell_length_c 28.6506
_cell_angle_alpha 90.00
_cell_angle_beta 90.00
_cell_angle_gamma 120.00
_space_group_name_H-M_alt 'R 3 m'
_space_group_IT_number 160
_space_group_name_Hall 'R 3 -2"'
loop_
_atom_site_label
_atom_site_fract_x
_atom_site_fract_y
_atom_site_fract_z
Pm1 0.0000 0.0000 0.0000
Ho1 0.0000 0.0000 0.2343
Ho2 0.0000 0.0000 0.4336
Sb1 0.0000 0.0000 0.8343
```

**Crystal system**: trigonal
**M_tot**: 2.10 Bohr magnetons per cell
**Formation energy from raw total energies**: -0.331 eV per atom



# 3
The following is a PBE-GGA calculation of a relaxed structure of CrRh2Br, from Alexandria.

```
data_CrRh2Br
_cell_length_a 4.0437
_cell_length_b 4.0437
_cell_length_c 7.6120
_cell_angle_alpha 90.00
_cell_angle_beta 90.00
_cell_angle_gamma 90.00
_space_group_name_H-M_alt 'I 4/m m m'
_space_group_IT_number 139
_space_group_name_Hall '-I 4 2'
loop_
_atom_site_label
_atom_site_fract_x
_atom_site_fract_y
_atom_site_fract_z
Cr1 0.0000 0.0000 0.0000
Rh1 0.0000 0.5000 0.2500
Br1 0.0000 0.0000 0.5000
```

**Crystal system**: tetragonal
**M_tot**: 4.78 Bohr magnetons per cell
**Formation energy from raw total energies**: 0.553 eV per atom